7
Lattice="4.722 0.000 0.000 0.000 4.722 0.000 2.361 2.361 5.650" Properties=species:S:1:pos:R:3 comment="Ta4MoO2 (GGA+U, optimized geometry)" dft_energy_ev_per_cell=-59.45 spacegroup="I4/mmm, No. 139" dos_ef_per_ev_atom=0.89 mass_density_g_cm3=11.23 pbc="T T T"
O 4.722 4.722 4.567
O 2.361 2.361 1.083
Mo 0.000 0.000 0.000
Ta 4.722 4.722 2.671
Ta 2.361 2.361 2.979
Ta 0.000 2.361 0.000
Ta 2.361 0.000 0.000